Record 1
A geometry-optimized Cd2Bi2Sb structure. Source: Alexandria, functional PBE-GGA.

As for the theoretical density: 8.6 g cm⁻³. Its symmetry is I4/mmm, No. 139.

a = 4.1309 Å, b = 4.1309 Å, c = 17.3519 Å
α = 90.00°, β = 90.00°, γ = 90.00°
With the nearest neighbours (Å) after each atom.
Atoms (fractional coordinates):
Cd  0.0000  0.5000  0.2500  4 Cd 2.92
Cd  0.0000  0.5000  0.7500  4 Cd 2.92
Cd  0.5000  0.0000  0.2500  4 Cd 2.92
Cd  0.5000  0.0000  0.7500  4 Cd 2.92
Bi  0.0000  0.0000  0.0958  1 Bi 3.33, 4 Sb 3.36, 4 Cd 3.38
Bi  0.0000  0.0000  0.9042  1 Bi 3.33, 4 Sb 3.36, 4 Cd 3.38
Bi  0.5000  0.5000  0.4042  1 Bi 3.33, 4 Sb 3.36, 4 Cd 3.38
Bi  0.5000  0.5000  0.5958  1 Bi 3.33, 4 Sb 3.36, 4 Cd 3.38
Sb  0.0000  0.0000  0.5000  8 Bi 3.36
Sb  0.5000  0.5000  0.0000  8 Bi 3.36


Record 2
A geometry-optimized Cd2Bi2Sb structure. Source: Alexandria, functional PBE-GGA.

As for the theoretical density: 9.0 g cm⁻³. Its symmetry is P4/mbm, No. 127.

a = 8.1407 Å, b = 8.1407 Å, c = 4.2801 Å
α = 90.00°, β = 90.00°, γ = 90.00°
With the nearest neighbours (Å) after each atom.
Atoms (fractional coordinates):
Cd  0.1252  0.3748  0.0000  1 Cd 2.88, 2 Bi 3.08, 2 Sb 3.22
Cd  0.3748  0.8748  0.0000  1 Cd 2.88, 2 Bi 3.08, 2 Sb 3.22
Cd  0.6252  0.1252  0.0000  1 Cd 2.88, 2 Bi 3.08, 2 Sb 3.22
Cd  0.8748  0.6252  0.0000  1 Cd 2.88, 2 Bi 3.08, 2 Sb 3.22
Bi  0.1829  0.6829  0.5000  6 Cd 3.08-3.33
Bi  0.3171  0.1829  0.5000  6 Cd 3.08-3.33
Bi  0.6829  0.8171  0.5000  6 Cd 3.08-3.33
Bi  0.8171  0.3171  0.5000  6 Cd 3.08-3.33
Sb  0.0000  0.0000  0.0000  4 Cd 3.22
Sb  0.5000  0.5000  0.0000  4 Cd 3.22


Record 3
A geometry-optimized Cd12Bi5Sb3 structure. Source: Alexandria, functional PBE-GGA.

As for the theoretical density: 7.0 g cm⁻³. Its symmetry is Ia-3d, No. 230.

a = 15.0291 Å, b = 15.0291 Å, c = 15.0291 Å
α = 109.47°, β = 109.47°, γ = 109.47°
With the nearest neighbours (Å) after each atom.
Atoms (fractional coordinates):
Cd  0.0631  0.2348  0.1352  2 Bi 2.87-3.03, 1 Sb 2.99, 1 Cd 3.20
Cd  0.0631  0.3283  0.9279  2 Bi 2.87-3.03, 1 Sb 2.99, 1 Cd 3.20
Cd  0.0721  0.6352  0.4004  2 Bi 2.87-3.03, 1 Sb 2.99, 1 Cd 3.20
Cd  0.0721  0.9369  0.6717  2 Bi 2.87-3.03, 1 Sb 2.99, 1 Cd 3.20
Cd  0.0996  0.7348  0.6717  2 Bi 2.87-3.03, 1 Sb 2.99, 1 Cd 3.20
Cd  0.0996  0.8648  0.4279  2 Bi 2.87-3.03, 1 Sb 2.99, 1 Cd 3.20
Cd  0.1352  0.0631  0.2348  2 Bi 2.87-3.03, 1 Sb 2.99, 1 Cd 3.20
Cd  0.1352  0.5721  0.9004  2 Bi 2.87-3.03, 1 Sb 2.99, 1 Cd 3.20
Cd  0.1717  0.2348  0.5996  2 Bi 2.87-3.03, 1 Sb 2.99, 1 Cd 3.20
Cd  0.1717  0.4369  0.5721  2 Bi 2.87-3.03, 1 Sb 2.99, 1 Cd 3.20
Cd  0.2348  0.1352  0.0631  2 Bi 2.87-3.03, 1 Sb 2.99, 1 Cd 3.20
Cd  0.2348  0.5996  0.1717  2 Bi 2.87-3.03, 1 Sb 2.99, 1 Cd 3.20
Cd  0.2652  0.3283  0.9004  2 Bi 2.87-3.03, 1 Sb 2.99, 1 Cd 3.20
Cd  0.2652  0.4369  0.3648  2 Bi 2.87-3.03, 1 Sb 2.99, 1 Cd 3.20
Cd  0.3283  0.9004  0.2652  2 Bi 2.87-3.03, 1 Sb 2.99, 1 Cd 3.20
Cd  0.3283  0.9279  0.0631  2 Bi 2.87-3.03, 1 Sb 2.99, 1 Cd 3.20
Cd  0.3648  0.2652  0.4369  2 Bi 2.87-3.03, 1 Sb 2.99, 1 Cd 3.20
Cd  0.3648  0.5996  0.9279  2 Bi 2.87-3.03, 1 Sb 2.99, 1 Cd 3.20
Cd  0.4004  0.0721  0.6352  2 Bi 2.87-3.03, 1 Sb 2.99, 1 Cd 3.20
Cd  0.4004  0.8283  0.7652  2 Bi 2.87-3.03, 1 Sb 2.99, 1 Cd 3.20
Cd  0.4279  0.0996  0.8648  2 Bi 2.87-3.03, 1 Sb 2.99, 1 Cd 3.20
Cd  0.4279  0.8283  0.5631  2 Bi 2.87-3.03, 1 Sb 2.99, 1 Cd 3.20
Cd  0.4369  0.3648  0.2652  2 Bi 2.87-3.03, 1 Sb 2.99, 1 Cd 3.20
Cd  0.4369  0.5721  0.1717  2 Bi 2.87-3.03, 1 Sb 2.99, 1 Cd 3.20
Cd  0.5631  0.4279  0.8283  2 Bi 2.87-3.03, 1 Sb 2.99, 1 Cd 3.20
Cd  0.5631  0.6352  0.7348  2 Bi 2.87-3.03, 1 Sb 2.99, 1 Cd 3.20
Cd  0.5721  0.1717  0.4369  2 Bi 2.87-3.03, 1 Sb 2.99, 1 Cd 3.20
Cd  0.5721  0.9004  0.1352  2 Bi 2.87-3.03, 1 Sb 2.99, 1 Cd 3.20
Cd  0.5996  0.1717  0.2348  2 Bi 2.87-3.03, 1 Sb 2.99, 1 Cd 3.20
Cd  0.5996  0.9279  0.3648  2 Bi 2.87-3.03, 1 Sb 2.99, 1 Cd 3.20
Cd  0.6352  0.4004  0.0721  2 Bi 2.87-3.03, 1 Sb 2.99, 1 Cd 3.20
Cd  0.6352  0.7348  0.5631  2 Bi 2.87-3.03, 1 Sb 2.99, 1 Cd 3.20
Cd  0.6717  0.0721  0.9369  2 Bi 2.87-3.03, 1 Sb 2.99, 1 Cd 3.20
Cd  0.6717  0.0996  0.7348  2 Bi 2.87-3.03, 1 Sb 2.99, 1 Cd 3.20
Cd  0.7348  0.5631  0.6352  2 Bi 2.87-3.03, 1 Sb 2.99, 1 Cd 3.20
Cd  0.7348  0.6717  0.0996  2 Bi 2.87-3.03, 1 Sb 2.99, 1 Cd 3.20
Cd  0.7652  0.4004  0.8283  2 Bi 2.87-3.03, 1 Sb 2.99, 1 Cd 3.20
Cd  0.7652  0.8648  0.9369  2 Bi 2.87-3.03, 1 Sb 2.99, 1 Cd 3.20
Cd  0.8283  0.5631  0.4279  2 Bi 2.87-3.03, 1 Sb 2.99, 1 Cd 3.20
Cd  0.8283  0.7652  0.4004  2 Bi 2.87-3.03, 1 Sb 2.99, 1 Cd 3.20
Cd  0.8648  0.4279  0.0996  2 Bi 2.87-3.03, 1 Sb 2.99, 1 Cd 3.20
Cd  0.8648  0.9369  0.7652  2 Bi 2.87-3.03, 1 Sb 2.99, 1 Cd 3.20
Cd  0.9004  0.1352  0.5721  2 Bi 2.87-3.03, 1 Sb 2.99, 1 Cd 3.20
Cd  0.9004  0.2652  0.3283  2 Bi 2.87-3.03, 1 Sb 2.99, 1 Cd 3.20
Cd  0.9279  0.0631  0.3283  2 Bi 2.87-3.03, 1 Sb 2.99, 1 Cd 3.20
Cd  0.9279  0.3648  0.5996  2 Bi 2.87-3.03, 1 Sb 2.99, 1 Cd 3.20
Cd  0.9369  0.6717  0.0721  2 Bi 2.87-3.03, 1 Sb 2.99, 1 Cd 3.20
Cd  0.9369  0.7652  0.8648  2 Bi 2.87-3.03, 1 Sb 2.99, 1 Cd 3.20
Bi  0.0000  0.0000  0.0000  6 Cd 3.03
Bi  0.0000  0.0000  0.5000  6 Cd 3.03
Bi  0.0000  0.5000  0.0000  6 Cd 3.03
Bi  0.0000  0.5000  0.5000  6 Cd 3.03
Bi  0.1250  0.7500  0.8750  4 Cd 2.87
Bi  0.1250  0.8750  0.2500  4 Cd 2.87
Bi  0.2500  0.1250  0.8750  4 Cd 2.87
Bi  0.2500  0.6250  0.3750  4 Cd 2.87
Bi  0.3750  0.2500  0.6250  4 Cd 2.87
Bi  0.3750  0.6250  0.7500  4 Cd 2.87
Bi  0.5000  0.0000  0.0000  6 Cd 3.03
Bi  0.5000  0.0000  0.5000  6 Cd 3.03
Bi  0.5000  0.5000  0.0000  6 Cd 3.03
Bi  0.5000  0.5000  0.5000  6 Cd 3.03
Bi  0.6250  0.3750  0.2500  4 Cd 2.87
Bi  0.6250  0.7500  0.3750  4 Cd 2.87
Bi  0.7500  0.3750  0.6250  4 Cd 2.87
Bi  0.7500  0.8750  0.1250  4 Cd 2.87
Bi  0.8750  0.1250  0.7500  4 Cd 2.87
Bi  0.8750  0.2500  0.1250  4 Cd 2.87
Sb  0.1250  0.2500  0.3750  8 Cd 2.99-3.31
Sb  0.1250  0.3750  0.7500  8 Cd 2.99-3.31
Sb  0.2500  0.3750  0.1250  8 Cd 2.99-3.31
Sb  0.2500  0.8750  0.6250  8 Cd 2.99-3.31
Sb  0.3750  0.1250  0.2500  8 Cd 2.99-3.31
Sb  0.3750  0.7500  0.1250  8 Cd 2.99-3.31
Sb  0.6250  0.2500  0.8750  8 Cd 2.99-3.31
Sb  0.6250  0.8750  0.7500  8 Cd 2.99-3.31
Sb  0.7500  0.1250  0.3750  8 Cd 2.99-3.31
Sb  0.7500  0.6250  0.8750  8 Cd 2.99-3.31
Sb  0.8750  0.6250  0.2500  8 Cd 2.99-3.31
Sb  0.8750  0.7500  0.6250  8 Cd 2.99-3.31


Record 4
A geometry-optimized CdBi2Sb structure. Source: Alexandria, functional PBE-GGA.

As for the theoretical density: 9.3 g cm⁻³. Its symmetry is P4/mmm, No. 123.

a = 4.9180 Å, b = 4.9180 Å, c = 4.8377 Å
α = 90.00°, β = 90.00°, γ = 90.00°
With the nearest neighbours (Å) after each atom.
Atoms (fractional coordinates):
Cd  0.0000  0.0000  0.0000  8 Bi 3.45, 4 Sb 3.48
Bi  0.0000  0.5000  0.5000  4 Cd 3.45, 4 Sb 3.45, 4 Bi 3.48
Bi  0.5000  0.0000  0.5000  4 Cd 3.45, 4 Sb 3.45, 4 Bi 3.48
Sb  0.5000  0.5000  0.0000  8 Bi 3.45, 4 Cd 3.48


Record 5
A geometry-optimized Cd2Bi2Sb structure. Source: Alexandria, functional PBE-GGA.

As for the theoretical density: 8.6 g cm⁻³. Its symmetry is P4/mbm, No. 127.

a = 9.2661 Å, b = 9.2661 Å, c = 3.4386 Å
α = 90.00°, β = 90.00°, γ = 90.00°
With the nearest neighbours (Å) after each atom.
Atoms (fractional coordinates):
Cd  0.1084  0.3916  0.0000  1 Cd 2.84, 2 Bi 3.06
Cd  0.3916  0.8916  0.0000  1 Cd 2.84, 2 Bi 3.06
Cd  0.6084  0.1084  0.0000  1 Cd 2.84, 2 Bi 3.06
Cd  0.8916  0.6084  0.0000  1 Cd 2.84, 2 Bi 3.06
Bi  0.1987  0.6987  0.5000  2 Cd 3.06, 2 Sb 3.34
Bi  0.3013  0.1987  0.5000  2 Cd 3.06, 2 Sb 3.34
Bi  0.6987  0.8013  0.5000  2 Cd 3.06, 2 Sb 3.34
Bi  0.8013  0.3013  0.5000  2 Cd 3.06, 2 Sb 3.34
Sb  0.0000  0.0000  0.5000  4 Bi 3.34, 2 Sb 3.44
Sb  0.5000  0.5000  0.5000  4 Bi 3.34, 2 Sb 3.44


Record 6
A geometry-optimized Cd4Bi2Sb structure. Source: Alexandria, functional PBE-GGA.

As for the theoretical density: 8.4 g cm⁻³. Its symmetry is P2_1/m, No. 11.

a = 7.3803 Å, b = 5.9054 Å, c = 9.2558 Å
α = 90.00°, β = 104.59°, γ = 90.00°
With the nearest neighbours (Å) after each atom.
Atoms (fractional coordinates):
Cd  0.0823  0.0014  0.2478  4 Cd 2.94-3.13, 1 Sb 3.14, 2 Bi 3.18-3.23
Cd  0.0823  0.4986  0.2478  4 Cd 2.94-3.13, 1 Sb 3.14, 2 Bi 3.18-3.23
Cd  0.3744  0.2500  0.5031  1 Sb 3.05, 3 Bi 3.07-3.21, 3 Cd 3.13-3.22
Cd  0.4071  0.2500  0.1622  3 Cd 3.08-3.22, 1 Sb 3.12, 4 Bi 3.20-3.36
Cd  0.5929  0.7500  0.8378  3 Cd 3.08-3.22, 1 Sb 3.12, 4 Bi 3.20-3.36
Cd  0.6256  0.7500  0.4969  1 Sb 3.05, 3 Bi 3.07-3.21, 3 Cd 3.13-3.22
Cd  0.9177  0.5014  0.7522  4 Cd 2.94-3.13, 1 Sb 3.14, 2 Bi 3.18-3.23
Cd  0.9177  0.9986  0.7522  4 Cd 2.94-3.13, 1 Sb 3.14, 2 Bi 3.18-3.23
Bi  0.2351  0.7500  0.5580  6 Cd 3.07-3.21
Bi  0.2565  0.7500  0.0034  7 Cd 3.23-3.36, 3 Sb 3.26-3.50
Bi  0.7435  0.2500  0.9966  7 Cd 3.23-3.36, 3 Sb 3.26-3.50
Bi  0.7649  0.2500  0.4420  6 Cd 3.07-3.21
Sb  0.3041  0.2500  0.8137  4 Cd 3.05-3.14, 1 Bi 3.26
Sb  0.6959  0.7500  0.1863  4 Cd 3.05-3.14, 1 Bi 3.26


no.,uncorrected formation energy (eV/f.u.)
1,0.80
2,0.95
3,2.01
4,0.57
5,0.58
6,0.48